(1)
8
Lattice="4.496 0.000 0.000 0.000 6.201 0.000 0.000 0.000 6.036" Properties=species:S:1:pos:R:3 comment="LaYAl6 | Alexandria via LeMat-Bulk | PBE | optimized geometry" ef_ev_per_atom=-0.392 magmom_total_mub_per_atom=0.00 sg="No. 25" pbc="T T T"
La 0.000 0.000 0.000
Y 2.248 3.100 1.376
Al 0.000 1.513 2.894
Al 0.000 3.100 5.212
Al 0.000 4.688 2.894
Al 2.248 0.000 2.346
Al 2.248 1.706 4.516
Al 2.248 4.494 4.516


(2)
10
Lattice="7.129 0.000 0.000 0.000 7.129 0.000 0.000 0.000 2.798" Properties=species:S:1:pos:R:3 comment="Cu2PtRh2 | Alexandria via LeMat-Bulk | PBE | optimized geometry" ef_ev_per_atom=0.244 magmom_total_mub_per_atom=0.00 sg="No. 127" pbc="T T T"
Cu 1.206 2.358 0.000
Cu 2.358 5.923 0.000
Cu 4.771 1.206 0.000
Cu 5.923 4.771 0.000
Pt 0.000 0.000 1.399
Pt 3.565 3.565 1.399
Rh 0.921 4.486 1.399
Rh 2.643 0.921 1.399
Rh 4.486 6.208 1.399
Rh 6.208 2.643 1.399


(3)
16
Lattice="7.224 0.000 0.000 0.000 7.224 0.000 0.000 0.000 7.224" Properties=species:S:1:pos:R:3 comment="AcZnHgPd | Alexandria via LeMat-Bulk | PBE | optimized geometry" ef_ev_per_atom=-0.371 magmom_total_mub_per_atom=0.00 sg="No. 216" pbc="T T T"
Ac 0.000 0.000 0.000
Ac 0.000 3.612 3.612
Ac 3.612 0.000 3.612
Ac 3.612 3.612 0.000
Zn 1.806 1.806 1.806
Zn 1.806 5.418 5.418
Zn 5.418 1.806 5.418
Zn 5.418 5.418 1.806
Hg 0.000 0.000 3.612
Hg 0.000 3.612 0.000
Hg 3.612 0.000 0.000
Hg 3.612 3.612 3.612
Pd 1.806 1.806 5.418
Pd 1.806 5.418 1.806
Pd 5.418 1.806 1.806
Pd 5.418 5.418 5.418


(4)
16
Lattice="6.353 0.000 0.000 0.000 6.353 0.000 0.000 0.000 6.353" Properties=species:S:1:pos:R:3 comment="AgIrW2 | Alexandria via LeMat-Bulk | PBE | optimized geometry" ef_ev_per_atom=0.493 magmom_total_mub_per_atom=0.00 sg="No. 216" pbc="T T T"
Ag 0.000 0.000 0.000
Ag 0.000 3.177 3.177
Ag 3.177 0.000 3.177
Ag 3.177 3.177 0.000
Ir 1.588 1.588 1.588
Ir 1.588 4.765 4.765
Ir 4.765 1.588 4.765
Ir 4.765 4.765 1.588
W 0.000 0.000 3.177
W 0.000 3.177 0.000
W 1.588 1.588 4.765
W 1.588 4.765 1.588
W 3.177 0.000 0.000
W 3.177 3.177 3.177
W 4.765 1.588 1.588
W 4.765 4.765 4.765


(5)
9
Lattice="7.754 -2.585 0.000 7.754 2.585 0.000 -2.595 0.000 7.731" Properties=species:S:1:pos:R:3 comment="LaPm4Nd2Y2 | Alexandria via LeMat-Bulk | PBE | optimized geometry" ef_ev_per_atom=0.018 magmom_total_mub_per_atom=0.00 sg="No. 12" pbc="T T T"
La 0.000 0.000 0.000
Pm 2.580 0.000 2.570
Pm 5.155 0.000 5.150
Pm 7.758 0.000 2.581
Pm 10.333 0.000 5.160
Nd -0.004 0.000 5.143
Nd 12.916 0.000 2.588
Y 5.144 0.000 0.005
Y 7.768 0.000 7.726


(6)
5
Lattice="4.561 0.000 0.000 0.000 4.561 0.000 0.000 0.000 4.561" Properties=species:S:1:pos:R:3 comment="ScTi3S | Alexandria via LeMat-Bulk | PBE | optimized geometry" magmom_total_mub_per_atom=0.00 raw_formation_energy_ev_per_atom=-0.46 sg="No. 221" pbc="T T T"
Sc 0.000 0.000 0.000
Ti 0.000 2.280 2.280
Ti 2.280 0.000 2.280
Ti 2.280 2.280 0.000
S 2.280 2.280 2.280


(7)
12
Lattice="3.062 0.000 0.000 -1.531 2.651 0.000 0.000 0.000 28.508" Properties=species:S:1:pos:R:3 comment="LiScAg2 | Alexandria via LeMat-Bulk | PBE | optimized geometry" ef_ev_per_atom=0.022 magmom_total_mub_per_atom=0.00 sg="No. 160" pbc="T T T"
Li 0.000 0.000 0.000
Li 0.000 1.768 19.005
Li 1.531 0.884 9.503
Sc 0.000 0.000 21.664
Sc 0.000 1.768 12.161
Sc 1.531 0.884 2.659
Ag 0.000 0.000 7.386
Ag 0.000 0.000 14.545
Ag 0.000 1.768 5.042
Ag 0.000 1.768 26.391
Ag 1.531 0.884 16.888
Ag 1.531 0.884 24.047


(8)
5
Lattice="6.108 0.000 0.000 0.000 6.108 0.000 0.000 0.000 5.088" Properties=species:S:1:pos:R:3 comment="K2InHRu | Alexandria via LeMat-Bulk | PBE | optimized geometry" e_tot_ry_per_atom=-0.1957 magmom_total_mub_per_atom=0.24 sg="No. 123" pbc="T T T"
K 0.000 3.054 0.000
K 3.054 0.000 0.000
In 0.000 0.000 2.544
H 3.054 3.054 2.544
Ru 0.000 0.000 0.000


(9)
5
Lattice="6.065 0.000 0.000 0.000 6.065 0.000 0.000 0.000 6.301" Properties=species:S:1:pos:R:3 comment="CsAsCSe2 | Alexandria via LeMat-Bulk | PBE | optimized geometry" magmom_total_mub_per_atom=0.82 raw_formation_energy_ev_per_atom=2.72 sg="No. 123" pbc="T T T"
Cs 0.000 0.000 0.000
As 0.000 0.000 3.151
C 3.033 3.033 3.151
Se 0.000 3.033 0.000
Se 3.033 0.000 0.000


(10)
12
Lattice="4.033 0.000 0.000 0.000 11.551 0.000 0.000 0.000 4.057" Properties=species:S:1:pos:R:3 comment="MgReIr | Alexandria via LeMat-Bulk | PBE | optimized geometry" ef_ev_per_atom=-0.119 magmom_total_mub_per_atom=0.00 sg="No. 65" pbc="T T T"
Mg 0.000 0.000 0.000
Mg 0.000 5.776 2.029
Mg 2.017 0.000 2.029
Mg 2.017 5.776 0.000
Re 0.000 2.113 2.029
Re 0.000 9.439 2.029
Re 2.017 3.663 2.029
Re 2.017 7.888 2.029
Ir 0.000 3.767 0.000
Ir 0.000 7.784 0.000
Ir 2.017 2.008 0.000
Ir 2.017 9.543 0.000


(11)
5
Lattice="3.961 0.000 0.000 0.000 3.961 0.000 0.000 0.000 3.961" Properties=species:S:1:pos:R:3 comment="HRu3N | Alexandria via LeMat-Bulk | PBE | optimized geometry" e_tot_ry_per_atom=-0.5155 magmom_total_mub_per_atom=0.25 sg="No. 221" pbc="T T T"
H 0.000 0.000 0.000
Ru 0.000 1.980 1.980
Ru 1.980 0.000 1.980
Ru 1.980 1.980 0.000
N 1.980 1.980 1.980